SnTe2PbI after structural relaxation. Source: the Alexandria database, functional PBE-GGA.

Lattice parameters (Å, degrees): 5.776 5.776 5.863 90.00 90.00 90.00
Fractional positions:
Sn  0.000  0.000  0.000
Te  0.000  0.500  0.000
Te  0.500  0.000  0.000
Pb  0.500  0.500  0.500
I  0.000  0.000  0.500

Summary:
N(E_F): 1.8 states/eV/f.u.
ΔE_f (raw): 113.2 meV/atom
crystal system: tetragonal